(1)
Pa4Ga16Pt3 | the Alexandria database | PBE | optimized geometry; calculated formation energy = -0.517 eV per atom; total magnetization = 0.0 μB per formula unit; VASP energy = -116.43 eV/f.u.
1.0
6.2333 0.0000 0.0000
0.0000 6.2333 0.0000
0.0000 0.0000 11.1225
Pt Ga Pa
3 16 4
direct
0.5000 0.0000 0.5000 Pt
0.0000 0.0000 0.0000 Pt
0.0000 0.5000 0.5000 Pt
0.5000 0.5000 0.8009 Ga
0.2885 0.7115 0.0000 Ga
0.2548 0.2548 0.6252 Ga
0.7452 0.7452 0.6252 Ga
0.2885 0.2885 0.0000 Ga
0.7452 0.2548 0.6252 Ga
0.7115 0.7115 0.0000 Ga
0.5000 0.5000 0.1991 Ga
0.2548 0.7452 0.6252 Ga
0.0000 0.0000 0.2302 Ga
0.7452 0.7452 0.3748 Ga
0.2548 0.2548 0.3748 Ga
0.2548 0.7452 0.3748 Ga
0.7115 0.2885 0.0000 Ga
0.0000 0.0000 0.7698 Ga
0.7452 0.2548 0.3748 Ga
0.5000 0.0000 0.8114 Pa
0.0000 0.5000 0.8114 Pa
0.0000 0.5000 0.1886 Pa
0.5000 0.0000 0.1886 Pa

***

(2)
PaGa2Pt2 | the Alexandria database | PBE | optimized geometry; calculated formation energy = -0.788 eV per atom; total magnetization = 0.0 μB per formula unit; relative energy among the computed polymorphs = 0 kJ/mol of formula units; VASP energy = -31.57 eV/f.u.
1.0
4.0711 0.0000 0.0000
0.0000 4.0711 0.0000
0.0000 0.0000 11.1637
Pa Pt Ga
2 4 4
direct
0.0000 0.5000 0.7516 Pa
0.5000 0.0000 0.2484 Pa
0.0000 0.0000 0.5000 Pt
0.5000 0.5000 0.5000 Pt
0.0000 0.5000 0.1473 Pt
0.5000 0.0000 0.8527 Pt
0.0000 0.0000 0.0000 Ga
0.0000 0.5000 0.3665 Ga
0.5000 0.5000 0.0000 Ga
0.5000 0.0000 0.6335 Ga

***

> The highest calculated formation energy belongs to which entry?

Pa4Ga16Pt3